Record 1
Compound: Cs2AlSb
Source: Alexandria via LeMat-Bulk
Functional: PBEsol
Structure: relaxed Values from VASP.

```
&SYSTEM
  ibrav = 0, nat = 4, ntyp = 3
/
ATOMIC_SPECIES
Cs 132.91 Cs.upf
Al 26.98 Al.upf
Sb 121.76 Sb.upf
ATOMIC_POSITIONS angstrom
Cs 2.162 2.162 2.162
Cs 6.486 6.486 6.486
Al 0.000 0.000 0.000
Sb 4.324 4.324 4.324
CELL_PARAMETERS angstrom
0.000 4.324 4.324
4.324 0.000 4.324
4.324 4.324 0.000
```

Calculated values
- E_tot (eV per cell) = -9.672
- size of the total moment (μB/cell) = 0.0
- formation energy from raw total energies (meV/atom) = 216
- ρ (Mg/m³) = 4.26

***

Record 2
Compound: La6Ti3Se9O5
Source: Alexandria via LeMat-Bulk
Functional: PBEsol
Structure: relaxed Values from VASP.

```
&SYSTEM
  ibrav = 0, nat = 46, ntyp = 4
/
ATOMIC_SPECIES
La 138.91 La.upf
Ti 47.87 Ti.upf
Se 78.96 Se.upf
O 16.00 O.upf
ATOMIC_POSITIONS angstrom
La 1.331 0.000 2.712
La 5.829 0.000 1.617
La 11.991 0.000 5.373
La 12.620 0.000 0.470
La 16.310 0.000 5.328
La 19.735 0.000 2.660
La 22.681 0.000 8.282
La 26.106 0.000 5.614
La 29.796 0.000 10.472
La 30.426 0.000 5.569
La 36.588 0.000 9.326
La 41.086 0.000 8.230
Ti -0.656 0.000 5.471
Ti 5.089 0.000 9.206
Ti 9.765 0.000 2.627
Ti 21.864 0.000 0.000
Ti 32.652 0.000 8.316
Ti 37.327 0.000 1.736
Se 0.519 0.000 10.675
Se 3.065 0.000 7.502
Se 6.272 0.000 4.775
Se 8.960 0.000 8.053
Se 12.529 0.000 8.549
Se 14.338 0.000 3.050
Se 16.882 0.000 0.587
Se 16.811 0.000 8.251
Se 19.411 0.000 5.777
Se 23.005 0.000 5.165
Se 25.606 0.000 2.691
Se 25.534 0.000 10.355
Se 28.078 0.000 7.892
Se 29.887 0.000 2.393
Se 33.457 0.000 2.889
Se 36.145 0.000 6.167
Se 39.351 0.000 3.440
Se 41.897 0.000 0.267
O -0.324 0.000 7.356
O 6.262 0.000 10.592
O 9.634 0.000 4.562
O 10.174 0.000 0.773
O 20.295 0.000 9.058
O 22.121 0.000 1.885
O 32.243 0.000 10.169
O 32.782 0.000 6.380
O 36.155 0.000 0.351
O 42.740 0.000 3.586
CELL_PARAMETERS angstrom
21.864 -1.942 0.000
21.864 1.942 0.000
-1.311 0.000 10.942
```

Calculated values
- E_tot (eV per cell) = -345.471
- size of the total moment (μB/cell) = 0.0
- formation energy from raw total energies (meV/atom) = -2382
- ρ (Mg/m³) = 6.32

***

Record 3
Compound: TaFe2Ir
Source: Alexandria via LeMat-Bulk
Functional: PBEsol
Structure: relaxed Values from VASP.

```
&SYSTEM
  ibrav = 0, nat = 4, ntyp = 3
/
ATOMIC_SPECIES
Ta 180.95 Ta.upf
Fe 55.84 Fe.upf
Ir 192.22 Ir.upf
ATOMIC_POSITIONS angstrom
Ta 0.000 0.000 0.000
Fe 1.506 1.506 1.506
Fe 3.012 3.012 3.012
Ir 4.518 4.518 4.518
CELL_PARAMETERS angstrom
0.000 3.012 3.012
3.012 0.000 3.012
3.012 3.012 0.000
```

Calculated values
- E_tot (eV per cell) = -40.989
- energy above the most stable polymorph in this dataset (kJ/mol of formula units) = 42
- size of the total moment (μB/cell) = 4.9
- ρ (Mg/m³) = 14.73
- DFT formation energy (meV per atom) = -172